DFT (PBEsol) results for a geometry-optimized ReMo2Au structure.

Summary:
- Total magnetic moment: 0.00 μB per atom
- Mass density: 15.306 Mg/m³
- ΔE to the lowest computed polymorph: 92 meV per atom

CIF file:
```
data_ReMo2Au
_cell_length_a 3.304
_cell_length_b 3.304
_cell_length_c 5.714
_cell_angle_alpha 90.00
_cell_angle_beta 90.00
_cell_angle_gamma 90.00
_symmetry_space_group_name_H-M 'P 1'
_symmetry_Int_Tables_number 1
_symmetry_space_group_name_Hall 'P 1'
loop_
_atom_site_label
_atom_site_type_symbol
_atom_site_fract_x
_atom_site_fract_y
_atom_site_fract_z
Au1 Au 0.500 0.500 0.500
Mo1 Mo 0.000 0.000 0.771
Mo2 Mo 0.000 0.000 0.229
Re1 Re 0.500 0.500 0.000
```

---

DFT (PBEsol) results for a geometry-optimized ReMoAu structure.

Summary:
- Total magnetic moment: 0.00 μB per atom
- Mass density: 17.056 Mg/m³
- ΔE to the lowest computed polymorph: 22 meV per atom

CIF file:
```
data_ReMoAu
_cell_length_a 2.784
_cell_length_b 2.784
_cell_length_c 6.331
_cell_angle_alpha 102.70
_cell_angle_beta 102.70
_cell_angle_gamma 90.00
_symmetry_space_group_name_H-M 'P 1'
_symmetry_Int_Tables_number 1
_symmetry_space_group_name_Hall 'P 1'
loop_
_atom_site_label
_atom_site_type_symbol
_atom_site_fract_x
_atom_site_fract_y
_atom_site_fract_z
Au1 Au 0.000 0.000 0.999
Mo1 Mo 0.675 0.675 0.350
Re1 Re 0.326 0.326 0.651
```

---

DFT (PBEsol) results for a geometry-optimized ReSi2MoAu structure.

Summary:
- Formation energy (no corrections): 2.058 eV per atom
- Total magnetic moment: 0.02 μB per atom
- Mass density: 8.805 Mg/m³

CIF file:
```
data_ReSi2MoAu
_cell_length_a 4.437
_cell_length_b 4.437
_cell_length_c 5.128
_cell_angle_alpha 90.00
_cell_angle_beta 90.00
_cell_angle_gamma 90.00
_symmetry_space_group_name_H-M 'P 1'
_symmetry_Int_Tables_number 1
_symmetry_space_group_name_Hall 'P 1'
loop_
_atom_site_label
_atom_site_type_symbol
_atom_site_fract_x
_atom_site_fract_y
_atom_site_fract_z
Re1 Re 0.500 0.500 0.500
Mo1 Mo 0.000 0.000 0.500
Au1 Au 0.000 0.000 0.000
Si1 Si 0.000 0.500 0.000
Si2 Si 0.500 0.000 0.000
```

---

DFT (PBEsol) results for a geometry-optimized ReSn2MoAu structure.

Summary:
- Total magnetic moment: 1.11 μB per atom
- E: -0.199 Ha/atom
- Mass density: 9.431 Mg/m³

CIF file:
```
data_ReSn2MoAu
_cell_length_a 5.032
_cell_length_b 5.007
_cell_length_c 5.007
_cell_angle_alpha 90.00
_cell_angle_beta 90.00
_cell_angle_gamma 90.00
_symmetry_space_group_name_H-M 'P 1'
_symmetry_Int_Tables_number 1
_symmetry_space_group_name_Hall 'P 1'
loop_
_atom_site_label
_atom_site_type_symbol
_atom_site_fract_x
_atom_site_fract_y
_atom_site_fract_z
Re1 Re 0.500 0.000 0.000
Mo1 Mo 0.500 0.500 0.500
Au1 Au 0.000 0.000 0.000
Sn1 Sn 0.000 0.000 0.500
Sn2 Sn 0.000 0.500 0.000
```

---

DFT (PBEsol) results for a geometry-optimized YRe2MoAu structure.

Summary:
- Total magnetic moment: 0.29 μB per atom
- E: -0.275 Ha/atom
- Mass density: 10.928 Mg/m³

CIF file:
```
data_YRe2MoAu
_cell_length_a 4.806
_cell_length_b 4.806
_cell_length_c 4.961
_cell_angle_alpha 90.00
_cell_angle_beta 90.00
_cell_angle_gamma 90.00
_symmetry_space_group_name_H-M 'P 1'
_symmetry_Int_Tables_number 1
_symmetry_space_group_name_Hall 'P 1'
loop_
_atom_site_label
_atom_site_type_symbol
_atom_site_fract_x
_atom_site_fract_y
_atom_site_fract_z
Y1 Y 0.000 0.000 0.500
Re1 Re 0.000 0.500 0.000
Re2 Re 0.500 0.000 0.000
Mo1 Mo 0.500 0.500 0.500
Au1 Au 0.000 0.000 0.000
```

---

DFT (PBEsol) results for a geometry-optimized MoRhAu2 structure.

Summary:
- Total magnetic moment: 0.00 μB per atom
- Mass density: 15.796 Mg/m³
- ΔE to the lowest computed polymorph: 0 meV per atom

CIF file:
```
data_MoRhAu2
_cell_length_a 2.792
_cell_length_b 2.792
_cell_length_c 7.993
_cell_angle_alpha 90.00
_cell_angle_beta 90.00
_cell_angle_gamma 90.00
_symmetry_space_group_name_H-M 'P 1'
_symmetry_Int_Tables_number 1
_symmetry_space_group_name_Hall 'P 1'
loop_
_atom_site_label
_atom_site_type_symbol
_atom_site_fract_x
_atom_site_fract_y
_atom_site_fract_z
Au1 Au 0.000 0.000 0.990
Au2 Au 0.500 0.500 0.262
Mo1 Mo 0.000 0.000 0.518
Rh1 Rh 0.500 0.500 0.731
```

---

DFT (PBEsol) results for a geometry-optimized MoRh2Au structure.

Summary:
- Total magnetic moment: 0.00 μB per atom
- Mass density: 14.041 Mg/m³
- ΔE to the lowest computed polymorph: 0 meV per atom

CIF file:
```
data_MoRh2Au
_cell_length_a 2.754
_cell_length_b 2.754
_cell_length_c 7.778
_cell_angle_alpha 90.00
_cell_angle_beta 90.00
_cell_angle_gamma 90.00
_symmetry_space_group_name_H-M 'P 1'
_symmetry_Int_Tables_number 1
_symmetry_space_group_name_Hall 'P 1'
loop_
_atom_site_label
_atom_site_type_symbol
_atom_site_fract_x
_atom_site_fract_y
_atom_site_fract_z
Rh1 Rh 0.000 0.000 0.732
Rh2 Rh 0.000 0.000 0.268
Mo1 Mo 0.500 0.500 0.500
Au1 Au 0.500 0.500 0.000
```

---

DFT (PBEsol) results for a geometry-optimized MoRh2Au structure.

Summary:
- Total magnetic moment: 0.00 μB per atom
- Mass density: 14.151 Mg/m³
- ΔE to the lowest computed polymorph: 135 meV per atom

CIF file:
```
data_MoRh2Au
_cell_length_a 2.753
_cell_length_b 4.711
_cell_length_c 4.791
_cell_angle_alpha 100.07
_cell_angle_beta 106.70
_cell_angle_gamma 90.00
_symmetry_space_group_name_H-M 'P 1'
_symmetry_Int_Tables_number 1
_symmetry_space_group_name_Hall 'P 1'
loop_
_atom_site_label
_atom_site_type_symbol
_atom_site_fract_x
_atom_site_fract_y
_atom_site_fract_z
Au1 Au 0.501 0.507 0.001
Mo1 Mo 0.745 0.229 0.490
Rh1 Rh 0.999 0.011 0.998
Rh2 Rh 0.255 0.753 0.510
```

---

DFT (PBEsol) results for a geometry-optimized MoRh2Au structure.

Summary:
- Total magnetic moment: 0.00 μB per atom
- Mass density: 13.919 Mg/m³
- ΔE to the lowest computed polymorph: 399 meV per atom

CIF file:
```
data_MoRh2Au
_cell_length_a 4.382
_cell_length_b 4.382
_cell_length_c 4.382
_cell_angle_alpha 60.00
_cell_angle_beta 60.00
_cell_angle_gamma 60.00
_symmetry_space_group_name_H-M 'P 1'
_symmetry_Int_Tables_number 1
_symmetry_space_group_name_Hall 'P 1'
loop_
_atom_site_label
_atom_site_type_symbol
_atom_site_fract_x
_atom_site_fract_y
_atom_site_fract_z
Au1 Au 0.500 0.500 0.500
Mo1 Mo 0.250 0.250 0.250
Rh1 Rh 0.000 0.000 0.000
Rh2 Rh 0.750 0.750 0.750
```

---

DFT (PBEsol) results for a geometry-optimized MoRhAu structure.

Summary:
- Total magnetic moment: 0.00 μB per atom
- E: -0.291 Ha/atom
- Mass density: 14.385 Mg/m³

CIF file:
```
data_MoRhAu
_cell_length_a 2.771
_cell_length_b 2.771
_cell_length_c 6.871
_cell_angle_alpha 90.00
_cell_angle_beta 90.00
_cell_angle_gamma 120.00
_symmetry_space_group_name_H-M 'P 1'
_symmetry_Int_Tables_number 1
_symmetry_space_group_name_Hall 'P 1'
loop_
_atom_site_label
_atom_site_type_symbol
_atom_site_fract_x
_atom_site_fract_y
_atom_site_fract_z
Au1 Au 0.000 0.000 0.001
Mo1 Mo 0.333 0.667 0.649
Rh1 Rh 0.667 0.333 0.350
```

---

DFT (PBEsol) results for a geometry-optimized MoRh2Au structure.

Summary:
- Total magnetic moment: 0.00 μB per atom
- Mass density: 13.966 Mg/m³
- ΔE to the lowest computed polymorph: 238 meV per atom

CIF file:
```
data_MoRh2Au
_cell_length_a 4.377
_cell_length_b 4.377
_cell_length_c 4.377
_cell_angle_alpha 60.00
_cell_angle_beta 60.00
_cell_angle_gamma 60.00
_symmetry_space_group_name_H-M 'P 1'
_symmetry_Int_Tables_number 1
_symmetry_space_group_name_Hall 'P 1'
loop_
_atom_site_label
_atom_site_type_symbol
_atom_site_fract_x
_atom_site_fract_y
_atom_site_fract_z
Au1 Au 0.000 0.000 0.000
Mo1 Mo 0.500 0.500 0.500
Rh1 Rh 0.250 0.250 0.250
Rh2 Rh 0.750 0.750 0.750
```

---

DFT (PBEsol) results for a geometry-optimized MoRhAu2 structure.

Summary:
- Total magnetic moment: 0.20 μB per atom
- Mass density: 15.836 Mg/m³
- ΔE to the lowest computed polymorph: 342 meV per atom

CIF file:
```
data_MoRhAu2
_cell_length_a 3.927
_cell_length_b 3.927
_cell_length_c 4.030
_cell_angle_alpha 90.00
_cell_angle_beta 90.00
_cell_angle_gamma 90.00
_symmetry_space_group_name_H-M 'P 1'
_symmetry_Int_Tables_number 1
_symmetry_space_group_name_Hall 'P 1'
loop_
_atom_site_label
_atom_site_type_symbol
_atom_site_fract_x
_atom_site_fract_y
_atom_site_fract_z
Au1 Au 0.000 0.500 0.000
Au2 Au 0.500 0.000 0.000
Mo1 Mo 0.500 0.500 0.500
Rh1 Rh 0.000 0.000 0.500
```

---

Q: Among the records above, which one has the highest total magnetic moment?
A: ReSn2MoAu

---

Q: Look up the total magnetic moment of the third one.
A: 0.02 μB per atom

---

Q: Number 6 is which compound?
A: MoRhAu2